This record from Alexandria describes a relaxed TcBi3Au crystal. The functional is GGA-PBE.

a = 5.2840 Å, b = 5.2840 Å, c = 5.2840 Å
α = 90.00°, β = 90.00°, γ = 90.00°
Fractional coordinates of all 5 atoms:
Tc 0.0000 0.0000 0.0000
Bi 0.0000 0.0000 0.5000
Bi 0.0000 0.5000 0.0000
Bi 0.5000 0.0000 0.0000
Au 0.5000 0.5000 0.5000

## Properties
For the density of states at the Fermi level, the calculation gives 1.406 states/eV per atom. The formation enthalpy at 0 K comes out at 0.598 eV per atom. The space group is Pm-3m (221). For the total energy, the calculation gives -4.459 eV/atom. Its energy above the most stable polymorph in this dataset is 0.000 eV per atom.



This record from Alexandria describes a relaxed TbCeSm2Er4 crystal. The functional is GGA-PBE.

a = 6.1454 Å, b = 3.5458 Å, c = 11.6988 Å
α = 90.00°, β = 100.14°, γ = 90.00°
Fractional coordinates of all 8 atoms:
Tb 0.0000 0.0000 0.0000
Ce 0.0000 0.5000 0.5000
Sm 0.5000 0.0000 0.5000
Sm 0.5000 0.5000 0.0000
Er 0.2462 0.0000 0.7480
Er 0.2467 0.5000 0.2503
Er 0.7533 0.5000 0.7497
Er 0.7538 0.0000 0.2520

## Properties
For the density of states at the Fermi level, the calculation gives 1.646 states/eV per atom. The formation enthalpy at 0 K comes out at 0.040 eV per atom. The space group is P2/m (10). For the total energy, the calculation gives -4.741 eV/atom.



This record from Alexandria describes a relaxed Sr2Si2Ge crystal. The functional is GGA-PBE.

a = 9.0678 Å, b = 9.0678 Å, c = 3.4026 Å
α = 90.00°, β = 90.00°, γ = 90.00°
Fractional coordinates of all 10 atoms:
Sr 0.1329 0.3671 0.0000
Sr 0.3671 0.8671 0.0000
Sr 0.6329 0.1329 0.0000
Sr 0.8671 0.6329 0.0000
Si 0.1707 0.6707 0.5000
Si 0.3293 0.1707 0.5000
Si 0.6707 0.8293 0.5000
Si 0.8293 0.3293 0.5000
Ge 0.0000 0.0000 0.0000
Ge 0.5000 0.5000 0.0000

## Properties
For the density of states at the Fermi level, the calculation gives 0.606 states/eV per atom. The space group is P4/mbm (127). For the total energy, the calculation gives -3.468 eV/atom. Its energy above the most stable polymorph in this dataset is 0.695 eV per atom. Its energy relative to the elements, uncorrected is 298 meV per atom.



This record from Alexandria describes a relaxed Li2CoRu crystal. The functional is GGA-PBE.

a = 4.0707 Å, b = 4.0707 Å, c = 4.0707 Å
α = 60.00°, β = 60.00°, γ = 60.00°
Fractional coordinates of all 4 atoms:
Li 0.0000 0.0000 0.0000
Li 0.2500 0.2500 0.2500
Co 0.5000 0.5000 0.5000
Ru 0.7500 0.7500 0.7500

## Properties
For the density of states at the Fermi level, the calculation gives 1.162 states/eV per atom. The formation enthalpy at 0 K comes out at 0.218 eV per atom. The space group is F-43m (216). For the total energy, the calculation gives -4.834 eV/atom. Its energy above the most stable polymorph in this dataset is 0.095 eV per atom.



This record from Alexandria describes a relaxed ZnCu3Rh2 crystal. The functional is GGA-PBE.

a = 6.7971 Å, b = 6.7971 Å, c = 4.1286 Å
α = 90.00°, β = 90.00°, γ = 69.24°
Fractional coordinates of all 12 atoms:
Zn 0.2310 0.7690 0.7500
Zn 0.7690 0.2310 0.2500
Cu 0.1394 0.3931 0.2500
Cu 0.3931 0.1394 0.7500
Cu 0.4163 0.5837 0.2500
Cu 0.5837 0.4163 0.7500
Cu 0.6069 0.8606 0.2500
Cu 0.8606 0.6069 0.7500
Rh 0.0061 0.2249 0.7500
Rh 0.2249 0.0061 0.2500
Rh 0.7751 0.9939 0.7500
Rh 0.9939 0.7751 0.2500

## Properties
For the density of states at the Fermi level, the calculation gives 1.245 states/eV per atom. The formation enthalpy at 0 K comes out at 0.205 eV per atom. The space group is Cmcm (63). For the total energy, the calculation gives -4.506 eV/atom.



This record from Alexandria describes a relaxed Ac10In3Hg3 crystal. The functional is GGA-PBE.

a = 9.7503 Å, b = 9.7503 Å, c = 7.3682 Å
α = 90.00°, β = 90.00°, γ = 120.00°
Fractional coordinates of all 16 atoms:
Ac 0.0000 0.2401 0.0000
Ac 0.0000 0.7577 0.5000
Ac 0.2401 0.0000 0.0000
Ac 0.2423 0.2423 0.5000
Ac 0.3333 0.6667 0.2498
Ac 0.3333 0.6667 0.7502
Ac 0.6667 0.3333 0.2498
Ac 0.6667 0.3333 0.7502
Ac 0.7577 0.0000 0.5000
Ac 0.7599 0.7599 0.0000
In 0.0000 0.5966 0.0000
In 0.4034 0.4034 0.0000
In 0.5966 0.0000 0.0000
Hg 0.0000 0.4003 0.5000
Hg 0.4003 0.0000 0.5000
Hg 0.5997 0.5997 0.5000

## Properties
For the density of states at the Fermi level, the calculation gives 1.061 states/eV per atom. The formation enthalpy at 0 K comes out at -0.321 eV per atom. The space group is P-62m (189). For the total energy, the calculation gives -3.459 eV/atom.